[1]
Below is crystalline Th4IrI5 at its relaxed geometry, with properties calculated at the PBE level.

Values from the calculation:
The total magnetization comes out at 0.0 Bohr magnetons per cell. Its density of states at the Fermi level is 5.26 states/eV/f.u. The total DFT energy (no corrections) is -5.63 eV per atom. As for the formation energy without anion corrections: -1.00 eV per atom.

Cell lengths 18.8416, 4.0185, 9.4611 Å; angles 90.00, 99.00, 90.00 degrees
With the nearest neighbours (Å) after each atom.
Space group C2/m (No. 12)
Asymmetric unit:
1 Th 0.0012 0.0000 0.2008 x4  2 Ir 2.76
2 Th 0.1681 0.5000 0.0498 x4  1 Ir 3.13, 5 I 3.27-3.29
3 Ir 0.0000 0.5000 0.0000 x2  4 Th 2.76
4 I 0.0000 0.5000 0.5000 x2  4 Th 3.47
5 I 0.1678 0.0000 0.7772 x4  4 Th 3.22-3.27
6 I 0.1686 0.0000 0.3249 x4  3 Th 3.19-3.29



[2]
Below is crystalline Na3VGe at its relaxed geometry, with properties calculated at the PBE level.

Values from the calculation:
The energy above the lowest structure with this stoichiometry comes out at 287.9 meV/atom. The energy of formation from the pure elements comes out at 5.8 eV/f.u. The total magnetization comes out at 4.3 Bohr magnetons per cell. Its density of states at the Fermi level is 8.67 states/eV/f.u. The total DFT energy (no corrections) is -2.37 eV per atom.

Cell lengths 5.4868, 5.4868, 5.4868 Å; angles 90.00, 90.00, 90.00 degrees
With the nearest neighbours (Å) after each atom.
Space group Pm-3m (No. 221)
Asymmetric unit:
1 Na 0.0000 0.0000 0.5000 x3  2 V 2.74
2 V 0.0000 0.0000 0.0000 x1  6 Na 2.74
3 Ge 0.5000 0.5000 0.5000 x1  12 Na 3.88